[1]
Below is a geometry-optimized Ac7ZnPt5 structure, with properties calculated at the PBE-GGA level.

Cell lengths 4.390, 7.644, 26.301 Å; angles 90.01, 90.00, 106.71 degrees
Fractional coordinates of all 26 atoms:
Ac1 0.458 0.918 0.250
Ac2 0.543 0.083 0.750
Ac3 0.636 0.271 0.036
Ac4 0.365 0.730 0.964
Ac5 0.365 0.730 0.536
Ac6 0.636 0.271 0.464
Ac7 0.177 0.355 0.172
Ac8 0.824 0.646 0.828
Ac9 0.824 0.647 0.672
Ac10 0.177 0.354 0.328
Ac11 0.910 0.819 0.105
Ac12 0.091 0.182 0.895
Ac13 0.091 0.182 0.605
Ac14 0.910 0.819 0.395
Zn1 0.789 0.578 0.250
Zn2 0.211 0.423 0.750
Pt1 0.000 0.001 0.000
Pt2 0.727 0.454 0.928
Pt3 0.273 0.547 0.072
Pt4 0.542 0.084 0.355
Pt5 0.458 0.917 0.645
Pt6 0.000 0.000 0.500
Pt7 0.273 0.547 0.428
Pt8 0.727 0.454 0.572
Pt9 0.458 0.917 0.855
Pt10 0.542 0.084 0.145

Summary:
Fermi-level density of states in states/eV/cell: 19.165
ΔE_f in eV/atom: -0.953

---

[2]
Below is a geometry-optimized Ac3Zn2Pt4 structure, with properties calculated at the PBE-GGA level.

Cell lengths 4.385, 6.290, 9.023 Å; angles 108.53, 90.00, 110.40 degrees
Fractional coordinates of all 9 atoms:
Ac1 0.656 0.313 0.680
Ac2 0.000 0.000 0.000
Ac3 0.344 0.687 0.320
Zn1 0.626 0.252 0.294
Zn2 0.374 0.748 0.706
Pt1 0.708 0.417 0.066
Pt2 0.292 0.583 0.934
Pt3 0.935 0.870 0.606
Pt4 0.065 0.130 0.394

Summary:
Fermi-level density of states in states/eV/cell: 4.536
ΔE_f in eV/atom: -0.961

---

[3]
Below is a geometry-optimized Ac4ZnPt structure, with properties calculated at the PBE-GGA level.

Cell lengths 5.345, 5.346, 7.645 Å; angles 89.88, 89.94, 90.00 degrees
Fractional coordinates of all 6 atoms:
Ac1 0.501 0.997 0.255
Ac2 0.502 0.998 0.741
Ac3 0.002 0.498 0.741
Ac4 0.001 0.497 0.255
Zn1 0.501 0.497 0.998
Pt1 0.001 0.997 0.498

Summary:
Fermi-level density of states in states/eV/cell: 9.205
ΔE_f in eV/atom: -0.308
Polymorph energy (0 for the lowest one) in meV per atom: 137

---

[4]
Below is a geometry-optimized Ac3Zn6Pt5 structure, with properties calculated at the PBE-GGA level.

Cell lengths 4.360, 9.982, 13.195 Å; angles 90.00, 90.00, 90.00 degrees
Fractional coordinates of all 28 atoms:
Ac1 0.000 0.247 0.685
Ac2 0.500 0.753 0.185
Ac3 0.500 0.753 0.815
Ac4 0.000 0.265 0.000
Ac5 0.500 0.735 0.500
Ac6 0.000 0.247 0.315
Zn1 0.000 0.989 0.854
Zn2 0.500 0.011 0.646
Zn3 0.500 0.417 0.814
Zn4 0.500 0.539 0.000
Zn5 0.000 0.461 0.500
Zn6 0.000 0.583 0.686
Zn7 0.000 0.583 0.314
Zn8 0.500 0.983 0.000
Zn9 0.000 0.989 0.146
Zn10 0.500 0.417 0.186
Zn11 0.000 0.017 0.500
Zn12 0.500 0.011 0.354
Pt1 0.000 0.544 0.889
Pt2 0.000 0.861 0.661
Pt3 0.000 0.804 0.000
Pt4 0.500 0.456 0.611
Pt5 0.500 0.196 0.500
Pt6 0.000 0.544 0.111
Pt7 0.500 0.456 0.389
Pt8 0.000 0.861 0.339
Pt9 0.500 0.139 0.839
Pt10 0.500 0.139 0.161

Summary:
Fermi-level density of states in states/eV/cell: 16.876
ΔE_f in eV/atom: -0.766

---

[5]
Below is a geometry-optimized AcZn6Pt4 structure, with properties calculated at the PBE-GGA level.

Cell lengths 4.152, 7.372, 7.372 Å; angles 120.00, 90.00, 90.00 degrees
Fractional coordinates of all 11 atoms:
Ac1 0.000 0.000 0.000
Zn1 0.000 0.535 0.071
Zn2 0.500 0.588 0.794
Zn3 0.000 0.535 0.465
Zn4 0.000 0.929 0.465
Zn5 0.500 0.206 0.794
Zn6 0.500 0.206 0.412
Pt1 0.500 0.798 0.597
Pt2 0.500 0.403 0.202
Pt3 0.500 0.798 0.202
Pt4 0.000 0.333 0.667

Summary:
Fermi-level density of states in states/eV/cell: 3.424
ΔE_f in eV/atom: -0.611

---

[6]
Below is a geometry-optimized AcZnPt3 structure, with properties calculated at the PBE-GGA level.

Cell lengths 5.524, 8.607, 6.809 Å; angles 129.20, 113.93, 90.00 degrees
Fractional coordinates of all 10 atoms:
Ac1 0.250 0.292 0.500
Ac2 0.750 0.708 0.500
Zn1 0.000 0.500 0.000
Zn2 0.500 0.000 0.000
Pt1 0.749 0.249 0.998
Pt2 0.249 0.249 0.998
Pt3 0.751 0.751 0.002
Pt4 0.251 0.751 0.002
Pt5 0.250 0.909 0.500
Pt6 0.750 0.091 0.500

Summary:
Fermi-level density of states in states/eV/cell: 3.871
ΔE_f in eV/atom: -0.819
Polymorph energy (0 for the lowest one) in meV per atom: 0

---

[7]
Below is a geometry-optimized Ac2ZnPt structure, with properties calculated at the PBE-GGA level.

Cell lengths 4.658, 6.308, 8.554 Å; angles 111.26, 90.00, 90.00 degrees
Fractional coordinates of all 8 atoms:
Ac1 0.750 0.229 0.421
Ac2 0.250 0.771 0.579
Ac3 0.250 0.779 0.062
Ac4 0.750 0.221 0.938
Zn1 0.750 0.648 0.287
Zn2 0.250 0.352 0.713
Pt1 0.250 0.352 0.213
Pt2 0.750 0.648 0.787

Summary:
Fermi-level density of states in states/eV/cell: 5.867
ΔE_f in eV/atom: -0.700
Polymorph energy (0 for the lowest one) in meV per atom: 0

---

[8]
Below is a geometry-optimized AcZn2Pt4 structure, with properties calculated at the PBE-GGA level.

Cell lengths 6.169, 6.169, 6.169 Å; angles 101.00, 101.00, 128.19 degrees
Fractional coordinates of all 7 atoms:
Ac1 0.000 0.000 0.000
Zn1 0.750 0.250 0.500
Zn2 0.250 0.750 0.500
Pt1 0.500 0.267 0.767
Pt2 0.733 0.500 0.233
Pt3 0.267 0.500 0.767
Pt4 0.500 0.733 0.233

Summary:
Fermi-level density of states in states/eV/cell: 3.705
ΔE_f in eV/atom: -0.239

---

[9]
Below is a geometry-optimized Ac2ZnPt structure, with properties calculated at the PBE-GGA level.

Cell lengths 3.865, 3.865, 7.642 Å; angles 90.00, 90.00, 90.00 degrees
Fractional coordinates of all 4 atoms:
Ac1 0.000 0.000 0.764
Ac2 0.000 0.000 0.236
Zn1 0.500 0.500 0.500
Pt1 0.500 0.500 0.000

Summary:
Fermi-level density of states in states/eV/cell: 3.712
ΔE_f in eV/atom: -0.637
Polymorph energy (0 for the lowest one) in meV per atom: 62

---

[10]
Below is a geometry-optimized AcZn5Pt2 structure, with properties calculated at the PBE-GGA level.

Cell lengths 4.161, 6.526, 6.526 Å; angles 70.20, 71.41, 71.41 degrees
Fractional coordinates of all 8 atoms:
Ac1 0.000 0.000 0.000
Zn1 0.000 0.500 0.500
Zn2 0.650 0.530 0.171
Zn3 0.350 0.470 0.829
Zn4 0.350 0.829 0.470
Zn5 0.650 0.171 0.530
Pt1 0.744 0.756 0.756
Pt2 0.256 0.244 0.244

Summary:
Fermi-level density of states in states/eV/cell: 3.595
ΔE_f in eV/atom: -0.543

---

[11]
Below is a geometry-optimized AcZn12Pt6 structure, with properties calculated at the PBE-GGA level.

Cell lengths 7.205, 7.205, 7.205 Å; angles 104.23, 104.23, 104.23 degrees
Fractional coordinates of all 19 atoms:
Ac1 0.000 0.000 0.000
Zn1 0.889 0.111 0.500
Zn2 0.865 0.596 0.596
Zn3 0.596 0.596 0.865
Zn4 0.404 0.135 0.404
Zn5 0.404 0.404 0.135
Zn6 0.135 0.404 0.404
Zn7 0.111 0.500 0.889
Zn8 0.500 0.889 0.111
Zn9 0.111 0.889 0.500
Zn10 0.889 0.500 0.111
Zn11 0.500 0.111 0.889
Zn12 0.596 0.865 0.596
Pt1 0.703 0.273 0.273
Pt2 0.273 0.273 0.703
Pt3 0.273 0.703 0.273
Pt4 0.727 0.727 0.297
Pt5 0.297 0.727 0.727
Pt6 0.727 0.297 0.727

Summary:
Fermi-level density of states in states/eV/cell: 8.063
ΔE_f in eV/atom: -0.429

---

[12]
Below is a geometry-optimized Ac3Zn9Pt2 structure, with properties calculated at the PBE-GGA level.

Cell lengths 4.496, 8.579, 8.579 Å; angles 68.05, 74.81, 74.81 degrees
Fractional coordinates of all 14 atoms:
Ac1 0.000 0.000 0.000
Ac2 0.687 0.313 0.313
Ac3 0.313 0.687 0.687
Zn1 0.000 0.500 0.500
Zn2 0.672 0.973 0.682
Zn3 0.328 0.027 0.318
Zn4 0.672 0.682 0.973
Zn5 0.328 0.318 0.027
Zn6 0.879 0.838 0.405
Zn7 0.121 0.162 0.595
Zn8 0.879 0.405 0.838
Zn9 0.121 0.595 0.162
Pt1 0.500 0.272 0.728
Pt2 0.500 0.728 0.272

Summary:
Fermi-level density of states in states/eV/cell: 5.981
ΔE_f in eV/atom: -0.453